<a>
The following is a DFT calculation (PBE) of TlCd2Br2 after structural relaxation.

density	6.05	Mg/m³
D(E_F)	0.46	states/eV per atom

abc: 8.3922 8.3922 4.5901
angles: 90.00 90.00 90.00
Space group P4/mbm (No. 127)
Asymmetric unit:
Tl1 0.0000 0.0000 0.0000 (multiplicity 2)
Cd1 0.1150 0.3850 0.0000 (multiplicity 4)
Br1 0.2353 0.7353 0.5000 (multiplicity 4)



<b>
The following is a DFT calculation (PBE) of TlCd2Br2 after structural relaxation.

density	6.04	Mg/m³
D(E_F)	0.34	states/eV per atom

abc: 5.9535 5.9535 9.1358
angles: 90.00 90.00 90.00
Space group I4/mmm (No. 139)
Asymmetric unit:
Tl1 0.0000 0.0000 0.0000 (multiplicity 2)
Cd1 0.0000 0.0000 0.3497 (multiplicity 4)
Br1 0.0000 0.5000 0.2500 (multiplicity 4)



Most stable: <b> (next structure +4.0 kJ/mol of atoms)



<a>
The following is a DFT calculation (PBE) of Tl2CdBr4 after structural relaxation.

density	5.30	Mg/m³
D(E_F)	0.00	states/eV per atom

abc: 7.8073 7.7792 9.1072
angles: 90.00 107.76 90.00
Space group P2_1/m (No. 11)
Asymmetric unit:
Tl1 0.2225 0.2500 0.0587 (multiplicity 2)
Tl2 0.2429 0.2500 0.5587 (multiplicity 2)
Cd1 0.2411 0.7500 0.8045 (multiplicity 2)
Br1 0.0054 0.0063 0.7419 (multiplicity 4)
Br2 0.4344 0.7500 0.6156 (multiplicity 2)
Br3 0.4381 0.7500 0.0943 (multiplicity 2)



<b>
The following is a DFT calculation (PBE) of Tl2CdBr4 after structural relaxation.

density	5.51	Mg/m³
D(E_F)	0.00	states/eV per atom

abc: 5.5807 5.5807 16.2572
angles: 90.00 90.00 90.00
Space group I4/mmm (No. 139)
Asymmetric unit:
Tl1 0.0000 0.0000 0.1364 (multiplicity 4)
Cd1 0.0000 0.0000 0.5000 (multiplicity 2)
Br1 0.0000 0.0000 0.3320 (multiplicity 4)
Br2 0.0000 0.5000 0.0000 (multiplicity 4)



Most stable: <a> (next structure +3.5 kJ/mol of atoms)



<a>
The following is a DFT calculation (PBE) of TlCd4Br8 after structural relaxation.

density	4.41	Mg/m³
D(E_F)	0.31	states/eV per atom

abc: 14.5183 8.3109 10.6908
angles: 90.00 131.02 90.00
Space group C2/m (No. 12)
Asymmetric unit:
Tl1 0.0000 0.0000 0.0000 (multiplicity 2)
Cd1 0.0000 0.2563 0.5000 (multiplicity 4)
Cd2 0.2410 0.5000 0.4851 (multiplicity 4)
Br1 0.9996 0.0000 0.3142 (multiplicity 4)
Br2 0.0102 0.5000 0.7003 (multiplicity 4)
Br3 0.2353 0.2456 0.3023 (multiplicity 8)



<b>
The following is a DFT calculation (PBE) of TlCd4Br8 after structural relaxation.

density	4.52	Mg/m³
D(E_F)	0.29	states/eV per atom

abc: 12.3859 12.3859 12.3859
angles: 90.00 90.00 90.00
Space group F-43m (No. 216)
Asymmetric unit:
Tl1 0.0000 0.0000 0.0000 (multiplicity 4)
Cd1 0.1196 0.1196 0.6196 (multiplicity 16)
Br1 0.1122 0.1122 0.3878 (multiplicity 16)
Br2 0.1459 0.1459 0.8541 (multiplicity 16)



Most stable: <a> (next structure +2.8 kJ/mol of atoms)



<a>
The following is a DFT calculation (PBE) of Tl2CdBr2 after structural relaxation.

density	6.53	Mg/m³
D(E_F)	0.00	states/eV per atom

abc: 8.9727 8.9727 4.3001
angles: 90.00 90.00 90.00
Space group P4/mbm (No. 127)
Asymmetric unit:
Tl1 0.1477 0.3523 0.0000 (multiplicity 4)
Cd1 0.0000 0.0000 0.0000 (multiplicity 2)
Br1 0.1565 0.6565 0.5000 (multiplicity 4)



<b>
The following is a DFT calculation (PBE) of Tl2CdBr2 after structural relaxation.

density	5.34	Mg/m³
D(E_F)	0.00	states/eV per atom

abc: 5.6491 5.6491 13.2836
angles: 90.00 90.00 90.00
Space group I4/mmm (No. 139)
Asymmetric unit:
Tl1 0.0000 0.0000 0.1408 (multiplicity 4)
Cd1 0.0000 0.0000 0.5000 (multiplicity 2)
Br1 0.0000 0.5000 0.2500 (multiplicity 4)



<c>
The following is a DFT calculation (PBE) of Tl2CdBr2 after structural relaxation.

density	6.39	Mg/m³
D(E_F)	0.00	states/eV per atom

abc: 9.3281 9.3281 4.0678
angles: 90.00 90.00 90.00
Space group P4/mbm (No. 127)
Asymmetric unit:
Tl1 0.1514 0.3486 0.0000 (multiplicity 4)
Cd1 0.0000 0.0000 0.5000 (multiplicity 2)
Br1 0.1446 0.6446 0.5000 (multiplicity 4)



Most stable: <a> (next structure +3.1 kJ/mol of atoms)



<a>
The following is a DFT calculation (PBE) of V2CdBr after structural relaxation.

density	5.86	Mg/m³
D(E_F)	1.30	states/eV per atom

abc: 4.3166 4.3166 17.9027
angles: 90.00 90.00 90.00
Space group I-42d (No. 122)
Asymmetric unit:
V1 0.1057 0.2500 0.1250 (multiplicity 8)
Cd1 0.0000 0.0000 0.5000 (multiplicity 4)
Br1 0.0000 0.0000 0.0000 (multiplicity 4)



<b>
The following is a DFT calculation (PBE) of V2CdBr after structural relaxation.

density	7.21	Mg/m³
D(E_F)	1.91	states/eV per atom

abc: 6.4706 6.4706 6.4706
angles: 90.00 90.00 90.00
Space group Fm-3m (No. 225)
Asymmetric unit:
V1 0.2500 0.2500 0.2500 (multiplicity 8)
Cd1 0.0000 0.0000 0.0000 (multiplicity 4)
Br1 0.0000 0.0000 0.5000 (multiplicity 4)



Most stable: <b> (next structure +1.2 kJ/mol of atoms)



<a>
The following is a DFT calculation (PBE) of VCd2Br after structural relaxation.

density	5.91	Mg/m³
D(E_F)	0.73	states/eV per atom

abc: 8.4105 8.4105 5.6483
angles: 90.00 90.00 90.00
Space group I-42d (No. 122)
Asymmetric unit:
V1 0.0000 0.0000 0.0000 (multiplicity 4)
Cd1 0.2288 0.2500 0.1250 (multiplicity 8)
Br1 0.0000 0.0000 0.5000 (multiplicity 4)



<b>
The following is a DFT calculation (PBE) of VCd2Br after structural relaxation.

density	5.98	Mg/m³
D(E_F)	1.14	states/eV per atom

abc: 7.3373 7.3373 7.3373
angles: 90.00 90.00 90.00
Space group Fm-3m (No. 225)
Asymmetric unit:
V1 0.0000 0.0000 0.0000 (multiplicity 4)
Cd1 0.2500 0.2500 0.2500 (multiplicity 8)
Br1 0.0000 0.0000 0.5000 (multiplicity 4)



Most stable: <a> (next structure +28.5 kJ/mol of atoms)